Entry 1:
Computed, not measured: a relaxed structure of Zr6NbAu at the PBE level of DFT.

Computed properties:
E_form = -0.094 eV per atom

Cell and atoms, written as POSCAR:
```
Zr6NbAu
1.0
-2.3805 2.3805 7.6193
2.3805 -2.3805 7.6193
2.3805 2.3805 -7.6193
Zr Nb Au
6 1 1
direct
0.1150 0.6150 0.5000
0.2425 0.2425 0.0000
0.3850 0.8850 0.5000
0.6150 0.1150 0.5000
0.7575 0.7575 0.0000
0.8850 0.3850 0.5000
0.0000 0.0000 0.0000
0.5000 0.5000 0.0000
```

---

Entry 2:
Computed, not measured: a relaxed structure of Sm2InSi3Pd4 at the PBE level of DFT.

Cell and atoms, written as POSCAR:
```
Sm2InSi3Pd4
1.0
4.2593 0.0000 0.0000
0.0000 4.2593 0.0000
0.0000 0.0000 10.3965
Sm In Si Pd
2 1 3 4
direct
0.0000 0.5000 0.2411
0.5000 0.0000 0.7589
0.0000 0.0000 0.5000
0.0000 0.5000 0.8786
0.5000 0.0000 0.1214
0.5000 0.5000 0.5000
0.0000 0.0000 0.0000
0.0000 0.5000 0.6500
0.5000 0.0000 0.3500
0.5000 0.5000 0.0000
```

---

E_tot / eV per atom: -8.1731 -5.7432